Record 1
VASP calculation (PBE) on an optimized crystal structure of PrYGe2Au2.

Structure (CIF):
```
data_PrYGe2Au2
_symmetry_space_group_name_H-M 'P 3 m 1'
_symmetry_Int_Tables_number 156
_symmetry_space_group_name_Hall 'P 3 -2"'
_cell_length_a 4.5143
_cell_length_b 4.5143
_cell_length_c 7.5693
_cell_angle_alpha 90.00
_cell_angle_beta 90.00
_cell_angle_gamma 120.00
loop_
_atom_site_label
_atom_site_fract_x
_atom_site_fract_y
_atom_site_fract_z
Pr1 0.0000 0.0000 0.0000
Y1 0.0000 0.0000 0.4974
Ge1 0.3333 0.6667 0.2189
Ge2 0.6667 0.3333 0.7023
Au1 0.3333 0.6667 0.7578
Au2 0.6667 0.3333 0.2969
```

Properties
* V: 133.6 Å³/f.u.
* raw total energy: -5.344 eV per atom

Record 2
VASP calculation (PBE) on an optimized crystal structure of Ge2PtAu.

Structure (CIF):
```
data_Ge2PtAu
_symmetry_space_group_name_H-M 'F -4 3 m'
_symmetry_Int_Tables_number 216
_symmetry_space_group_name_Hall 'F -4 2 3'
_cell_length_a 6.573
_cell_length_b 6.573
_cell_length_c 6.573
_cell_angle_alpha 90.00
_cell_angle_beta 90.00
_cell_angle_gamma 90.00
loop_
_atom_site_label
_atom_site_fract_x
_atom_site_fract_y
_atom_site_fract_z
Ge1 0.000 0.000 0.000
Ge2 0.250 0.250 0.250
Pt1 0.000 0.000 0.500
Au1 0.250 0.250 0.750
```

Properties
* V: 71.0 Å³/f.u.
* raw total energy: -4.470 eV per atom

Record 3
VASP calculation (PBE) on an optimized crystal structure of GePt2Au.

Structure (CIF):
```
data_GePt2Au
_symmetry_space_group_name_H-M 'F -4 3 m'
_symmetry_Int_Tables_number 216
_symmetry_space_group_name_Hall 'F -4 2 3'
_cell_length_a 6.431
_cell_length_b 6.431
_cell_length_c 6.431
_cell_angle_alpha 90.00
_cell_angle_beta 90.00
_cell_angle_gamma 90.00
loop_
_atom_site_label
_atom_site_fract_x
_atom_site_fract_y
_atom_site_fract_z
Ge1 0.000 0.000 0.000
Pt1 0.000 0.000 0.500
Pt2 0.250 0.250 0.750
Au1 0.250 0.250 0.250
```

Properties
* V: 66.5 Å³/f.u.
* raw total energy: -4.989 eV per atom

Record 4
VASP calculation (PBE) on an optimized crystal structure of GePtAu.

Structure (CIF):
```
data_GePtAu
_symmetry_space_group_name_H-M 'F -4 3 m'
_symmetry_Int_Tables_number 216
_symmetry_space_group_name_Hall 'F -4 2 3'
_cell_length_a 6.231
_cell_length_b 6.231
_cell_length_c 6.231
_cell_angle_alpha 90.00
_cell_angle_beta 90.00
_cell_angle_gamma 90.00
loop_
_atom_site_label
_atom_site_fract_x
_atom_site_fract_y
_atom_site_fract_z
Ge1 0.000 0.000 0.000
Pt1 0.000 0.000 0.500
Au1 0.250 0.250 0.250
```

Properties
* V: 60.5 Å³/f.u.
* raw total energy: -4.418 eV per atom